[1]
## Be4CuPt (meta-GGA SCAN)

Data for a PBEsol-optimized structure of Be4CuPt.

Summary:
Its formation energy is -3.13 eV/f.u. The total DFT energy (no corrections) comes out at -105.94 eV/cell. Its space group is F-43m (216).

abc: 4.287 4.287 4.287
angles: 60.00 60.00 60.00
Fractional coordinates of all 6 atoms:
Be 0.124 0.124 0.124
Be 0.124 0.124 0.627
Be 0.124 0.627 0.124
Be 0.627 0.124 0.124
Cu 0.750 0.750 0.750
Pt 0.500 0.500 0.500

[2]
## Be2CuPt (meta-GGA SCAN)

Data for a PBEsol-optimized structure of Be2CuPt.

Summary:
Its formation energy is -2.24 eV/f.u. The total DFT energy (no corrections) comes out at -96.34 eV/cell. Its energy above the lowest structure with this stoichiometry is 85.8 meV/atom. Its space group is Cm (8).

abc: 4.416 4.416 3.945
angles: 107.43 107.43 35.45
Fractional coordinates of all 4 atoms:
Be 0.000 0.000 0.000
Be 0.736 0.736 0.340
Cu 0.254 0.254 0.853
Pt 0.479 0.479 0.485